DFT (PBE) results for a relaxed GaTe crystal.

Summary:
The raw formation energy comes out at -32 meV per atom. The calculation puts the calculated volume at 43.92 Å³ per atom. As for the crystal system: cubic. As for the spin magnetization: 0.000 Bohr magnetons per cell. The calculation puts the density of states at the Fermi level at 1.079 states/eV per atom.

Cell lengths 8.8905, 8.8905, 8.8905 Å; angles 90.00, 90.00, 90.00 degrees
With the nearest neighbours (Å) after each atom.
Positions (direct):
Ga: 0.6426 0.3574 0.3574  4 Te 2.75-2.90
Ga: 0.3574 0.6426 0.3574  4 Te 2.75-2.90
Ga: 0.8574 0.1426 0.8574  4 Te 2.75-2.90
Ga: 0.1426 0.1426 0.1426  4 Te 2.75-2.90
Ga: 0.8574 0.8574 0.1426  4 Te 2.75-2.90
Ga: 0.3574 0.3574 0.6426  4 Te 2.75-2.90
Ga: 0.6426 0.6426 0.6426  4 Te 2.75-2.90
Ga: 0.1426 0.8574 0.8574  4 Te 2.75-2.90
Te: 0.1790 0.1790 0.8210  4 Ga 2.75-2.90
Te: 0.6790 0.3210 0.6790  4 Ga 2.75-2.90
Te: 0.3210 0.3210 0.3210  4 Ga 2.75-2.90
Te: 0.6790 0.6790 0.3210  4 Ga 2.75-2.90
Te: 0.8210 0.8210 0.8210  4 Ga 2.75-2.90
Te: 0.3210 0.6790 0.6790  4 Ga 2.75-2.90
Te: 0.1790 0.8210 0.1790  4 Ga 2.75-2.90
Te: 0.8210 0.1790 0.1790  4 Ga 2.75-2.90

***

DFT (PBE) results for a relaxed Th4GaTe5 crystal.

Summary:
The raw formation energy comes out at -998 meV per atom. The calculation puts the calculated volume at 36.61 Å³ per atom. As for the crystal system: monoclinic. As for the spin magnetization: 0.000 Bohr magnetons per cell. The calculation puts the density of states at the Fermi level at 0.306 states/eV per atom.

Cell lengths 4.4276, 8.8056, 9.8982 Å; angles 102.94, 102.92, 90.00 degrees
With the nearest neighbours (Å) after each atom.
Positions (direct):
Te: 0.8321 0.6584 0.6642  3 Th 3.12-3.14
Te: 0.1679 0.3416 0.3358  3 Th 3.12-3.14
Te: 0.8313 0.1704 0.6626  4 Th 3.19-3.21
Te: 0.1687 0.8296 0.3374  4 Th 3.19-3.21
Te: 0.5000 0.5000 0.0000  4 Th 3.19
Th: 0.6615 0.0899 0.3229  1 Ga 3.03, 5 Te 3.12-3.21
Th: 0.3385 0.9101 0.6771  1 Ga 3.03, 5 Te 3.12-3.21
Th: 0.9991 0.7608 0.9982  2 Ga 3.05, 4 Te 3.14-3.19
Th: 0.0009 0.2392 0.0018  2 Ga 3.05, 4 Te 3.14-3.19
Ga: 0.5000 0.0000 0.0000  6 Th 3.03-3.05

***

DFT (PBE) results for a relaxed Th2GaTe crystal.

Summary:
The raw formation energy comes out at -689 meV per atom. The calculation puts the calculated volume at 30.43 Å³ per atom. As for the crystal system: trigonal. As for the spin magnetization: 0.000 Bohr magnetons per cell. The calculation puts the density of states at the Fermi level at 0.919 states/eV per atom.

Cell lengths 4.2929, 4.2930, 7.6269 Å; angles 90.00, 90.00, 60.00 degrees
With the nearest neighbours (Å) after each atom.
Positions (direct):
Te: 0.0000 0.0000 0.5000  6 Th 3.27
Th: 0.6667 0.6667 0.2194  3 Ga 2.99, 3 Te 3.27
Th: 0.3333 0.3333 0.7806  3 Ga 2.99, 3 Te 3.27
Ga: 0.0000 0.0000 0.0000  6 Th 2.99

***

DFT (PBE) results for a relaxed Th4GaTe3 crystal.

Summary:
The raw formation energy comes out at -908 meV per atom. The calculation puts the calculated volume at 31.17 Å³ per atom. As for the crystal system: monoclinic. As for the spin magnetization: 0.000 Bohr magnetons per cell. The calculation puts the density of states at the Fermi level at 0.822 states/eV per atom.

Cell lengths 7.7459, 7.7310, 8.8033 Å; angles 90.00, 90.00, 108.90 degrees
With the nearest neighbours (Å) after each atom.
Positions (direct):
Th: 0.0000 0.2257 0.1141  2 Ga 3.00, 4 Te 3.14-3.31
Th: 0.5000 0.7743 0.1141  2 Ga 3.00, 4 Te 3.14-3.31
Th: 0.5000 0.2257 0.8859  2 Ga 3.00, 4 Te 3.14-3.31
Th: 0.4863 0.2343 0.3619  1 Ga 2.98, 5 Te 3.14-3.31
Th: 0.5137 0.7657 0.6381  1 Ga 2.98, 5 Te 3.14-3.31
Th: 0.0000 0.7743 0.8859  2 Ga 3.00, 4 Te 3.14-3.31
Th: 0.0137 0.7657 0.3619  1 Ga 2.98, 5 Te 3.14-3.31
Th: 0.9863 0.2343 0.6381  1 Ga 2.98, 5 Te 3.14-3.31
Te: 0.7500 0.0000 0.3749  6 Th 3.14
Te: 0.7500 0.5000 0.1256  6 Th 3.16-3.30
Te: 0.2500 0.0000 0.6251  6 Th 3.14
Te: 0.7500 0.5000 0.6231  6 Th 3.17-3.31
Te: 0.2500 0.5000 0.3769  6 Th 3.17-3.31
Te: 0.2500 0.5000 0.8744  6 Th 3.16-3.30
Ga: 0.7500 0.0000 0.8755  6 Th 2.98-3.00
Ga: 0.2500 0.0000 0.1245  6 Th 2.98-3.00